Run i
A geometry-optimized AcCeNiGe structure. Source: Alexandria, functional PBE.

abc: 4.7202 4.7202 10.1381
angles: 90.00 90.00 90.00
Last column: magnetic moment on the atom in μB.
Fractional positions:
Ge 0.5000 0.0000 0.8542  0.00
Ge 0.0000 0.5000 0.1458  0.00
Ni 0.5000 0.0000 0.6316  -0.03
Ni 0.0000 0.5000 0.3684  -0.03
Ac 0.5000 0.0000 0.1608  0.03
Ac 0.0000 0.5000 0.8392  0.03
Ce 0.5000 0.5000 0.5000  0.44
Ce 0.0000 0.0000 0.5000  0.44

Results
The value obtained for the volume is 226 Å³ per cell.

Run ii
A geometry-optimized AcCeNiGe structure. Source: Alexandria, functional PBE.

abc: 5.2206 5.2206 5.2206
angles: 60.00 60.00 60.00
Last column: magnetic moment on the atom in μB.
Fractional positions:
Ni 0.7500 0.7500 0.7500  -0.08
Ce 0.0000 0.0000 0.0000  0.82
Ge 0.2500 0.2500 0.2500  -0.02
Ac 0.5000 0.5000 0.5000  0.05

Results
The value obtained for the volume is 101 Å³ per cell.

Referenced to the most stable arrangement, the calculated values in meV per atom are run i 0; run ii 38.